# PBE BiPbSe, relaxed
data_BiPbSe
_cell_length_a 5.158
_cell_length_b 5.080
_cell_length_c 9.529
_cell_angle_alpha 74.39
_cell_angle_beta 90.00
_cell_angle_gamma 120.51
_space_group_name_H-M_alt 'P 1'
_space_group_IT_number 1
_space_group_name_Hall 'P 1'
loop_
_atom_site_label
_atom_site_fract_x
_atom_site_fract_y
_atom_site_fract_z
Se1 0.109 0.218 0.172
Se2 0.891 0.782 0.828
Bi1 0.359 0.718 0.423
Bi2 0.641 0.282 0.577
Pb1 0.222 0.444 0.842
Pb2 0.778 0.556 0.158
# Calculated total energy ... -3.897 eV/atom
# Space-group type ... C2/m (12)
# Size of the total moment ... 0.000 μB/atom
# Crystal system ... monoclinic

=====

# PBE BiPb2Se, relaxed
data_BiPb2Se
_cell_length_a 5.506
_cell_length_b 5.506
_cell_length_c 5.506
_cell_angle_alpha 60.00
_cell_angle_beta 60.00
_cell_angle_gamma 60.00
_space_group_name_H-M_alt 'P 1'
_space_group_IT_number 1
_space_group_name_Hall 'P 1'
loop_
_atom_site_label
_atom_site_fract_x
_atom_site_fract_y
_atom_site_fract_z
Pb1 0.250 0.250 0.250
Pb2 0.750 0.750 0.750
Bi1 0.500 0.500 0.500
Se1 0.000 0.000 0.000
# Calculated total energy ... -3.733 eV/atom
# Space-group type ... Fm-3m (225)
# Size of the total moment ... 0.000 μB/atom
# Energy above the most stable polymorph in this dataset ... 148.2 meV per atom
# Crystal system ... cubic

=====

# PBE Si2BiPbSe, relaxed
data_Si2BiPbSe
_cell_length_a 5.068
_cell_length_b 5.592
_cell_length_c 5.068
_cell_angle_alpha 90.00
_cell_angle_beta 90.00
_cell_angle_gamma 90.00
_space_group_name_H-M_alt 'P 1'
_space_group_IT_number 1
_space_group_name_Hall 'P 1'
loop_
_atom_site_label
_atom_site_fract_x
_atom_site_fract_y
_atom_site_fract_z
Pb1 0.500 0.500 0.500
Si1 0.000 0.000 0.500
Si2 0.500 0.000 0.000
Bi1 0.000 0.500 0.000
Se1 0.000 0.000 0.000
# Calculated total energy ... -3.650 eV/atom
# Space-group type ... P4/mmm (123)
# Size of the total moment ... 0.000 μB/atom
# Crystal system ... tetragonal

=====

# PBE Sm4BiPbSe2, relaxed
data_Sm4BiPbSe2
_cell_length_a 4.381
_cell_length_b 7.539
_cell_length_c 7.583
_cell_angle_alpha 70.45
_cell_angle_beta 90.00
_cell_angle_gamma 90.00
_space_group_name_H-M_alt 'P 1'
_space_group_IT_number 1
_space_group_name_Hall 'P 1'
loop_
_atom_site_label
_atom_site_fract_x
_atom_site_fract_y
_atom_site_fract_z
Sm1 0.000 0.764 0.742
Sm2 0.000 0.236 0.258
Sm3 0.500 0.762 0.249
Sm4 0.500 0.238 0.751
Bi1 0.500 0.500 0.000
Pb1 0.000 0.500 0.500
Se1 0.000 0.000 0.000
Se2 0.500 0.000 0.500
# Calculated total energy ... -5.443 eV/atom
# Space-group type ... P2/m (10)
# Size of the total moment ... 0.000 μB/atom
# Crystal system ... monoclinic

=====

# PBE Sm6Bi2PbSe3, relaxed
data_Sm6Bi2PbSe3
_cell_length_a 4.376
_cell_length_b 8.729
_cell_length_c 9.760
_cell_angle_alpha 102.59
_cell_angle_beta 102.96
_cell_angle_gamma 90.00
_space_group_name_H-M_alt 'P 1'
_space_group_IT_number 1
_space_group_name_Hall 'P 1'
loop_
_atom_site_label
_atom_site_fract_x
_atom_site_fract_y
_atom_site_fract_z
Sm1 0.332 0.928 0.663
Sm2 0.663 0.594 0.325
Sm3 0.668 0.072 0.337
Sm4 0.996 0.255 0.992
Sm5 0.004 0.745 0.008
Sm6 0.337 0.406 0.675
Bi1 0.833 0.666 0.666
Bi2 0.167 0.334 0.334
Pb1 0.500 0.000 0.000
Se1 0.500 0.500 0.000
Se2 0.832 0.166 0.665
Se3 0.168 0.834 0.335
# Calculated total energy ... -5.477 eV/atom
# Space-group type ... C2/m (12)
# Size of the total moment ... 0.000 μB/atom
# Crystal system ... monoclinic

=====

# PBE Sm6BiPb2Se3, relaxed
data_Sm6BiPb2Se3
_cell_length_a 4.374
_cell_length_b 8.731
_cell_length_c 9.749
_cell_angle_alpha 102.48
_cell_angle_beta 102.96
_cell_angle_gamma 90.00
_space_group_name_H-M_alt 'P 1'
_space_group_IT_number 1
_space_group_name_Hall 'P 1'
loop_
_atom_site_label
_atom_site_fract_x
_atom_site_fract_y
_atom_site_fract_z
Sm1 0.330 0.921 0.659
Sm2 0.664 0.590 0.328
Sm3 0.670 0.079 0.341
Sm4 0.999 0.260 0.997
Sm5 0.001 0.740 0.003
Sm6 0.336 0.410 0.672
Bi1 0.500 0.000 0.000
Pb1 0.833 0.667 0.666
Pb2 0.167 0.333 0.334
Se1 0.500 0.500 0.000
Se2 0.834 0.167 0.669
Se3 0.166 0.833 0.331
# Calculated total energy ... -5.401 eV/atom
# Space-group type ... C2/m (12)
# Size of the total moment ... 0.000 μB/atom
# Crystal system ... monoclinic

=====

# PBE Sn2BiPbSe4, relaxed
data_Sn2BiPbSe4
_cell_length_a 6.150
_cell_length_b 6.150
_cell_length_c 7.467
_cell_angle_alpha 114.32
_cell_angle_beta 114.32
_cell_angle_gamma 90.00
_space_group_name_H-M_alt 'P 1'
_space_group_IT_number 1
_space_group_name_Hall 'P 1'
loop_
_atom_site_label
_atom_site_fract_x
_atom_site_fract_y
_atom_site_fract_z
Sn1 0.250 0.750 0.500
Sn2 0.000 0.000 0.000
Bi1 0.750 0.250 0.500
Pb1 0.500 0.500 0.000
Se1 0.997 0.497 0.995
Se2 0.503 0.003 0.005
Se3 0.753 0.753 0.507
Se4 0.247 0.247 0.493
# Calculated total energy ... -4.079 eV/atom
# Space-group type ... I-4m2 (119)
# Size of the total moment ... 0.000 μB/atom
# Crystal system ... tetragonal

=====

# PBE Sr2BiPbSe4, relaxed
data_Sr2BiPbSe4
_cell_length_a 4.663
_cell_length_b 7.351
_cell_length_c 7.688
_cell_angle_alpha 68.83
_cell_angle_beta 90.00
_cell_angle_gamma 90.00
_space_group_name_H-M_alt 'P 1'
_space_group_IT_number 1
_space_group_name_Hall 'P 1'
loop_
_atom_site_label
_atom_site_fract_x
_atom_site_fract_y
_atom_site_fract_z
Sr1 0.000 0.000 0.000
Sr2 0.500 0.000 0.500
Bi1 0.500 0.500 0.000
Pb1 0.000 0.500 0.500
Se1 0.000 0.739 0.759
Se2 0.000 0.261 0.241
Se3 0.500 0.744 0.245
Se4 0.500 0.256 0.755
# Calculated total energy ... -4.243 eV/atom
# Space-group type ... P2/m (10)
# Size of the total moment ... 0.000 μB/atom
# Crystal system ... monoclinic

=====

# PBE Ta2BiPb2Se4, relaxed
data_Ta2BiPb2Se4
_cell_length_a 3.468
_cell_length_b 3.468
_cell_length_c 22.374
_cell_angle_alpha 90.00
_cell_angle_beta 90.00
_cell_angle_gamma 120.00
_space_group_name_H-M_alt 'P 1'
_space_group_IT_number 1
_space_group_name_Hall 'P 1'
loop_
_atom_site_label
_atom_site_fract_x
_atom_site_fract_y
_atom_site_fract_z
Ta1 0.000 0.000 0.972
Ta2 0.667 0.333 0.667
Bi1 0.000 0.000 0.324
Pb1 0.667 0.333 0.456
Pb2 0.667 0.333 0.183
Se1 0.000 0.000 0.591
Se2 0.667 0.333 0.046
Se3 0.667 0.333 0.897
Se4 0.000 0.000 0.741
# Calculated total energy ... -5.975 eV/atom
# Space-group type ... P3m1 (156)
# Size of the total moment ... 0.000 μB/atom
# Crystal system ... trigonal

=====

# PBE Tb4BiPbSe2, relaxed
data_Tb4BiPbSe2
_cell_length_a 4.309
_cell_length_b 7.417
_cell_length_c 7.461
_cell_angle_alpha 70.46
_cell_angle_beta 90.00
_cell_angle_gamma 90.00
_space_group_name_H-M_alt 'P 1'
_space_group_IT_number 1
_space_group_name_Hall 'P 1'
loop_
_atom_site_label
_atom_site_fract_x
_atom_site_fract_y
_atom_site_fract_z
Tb1 0.000 0.764 0.741
Tb2 0.000 0.236 0.259
Tb3 0.500 0.762 0.250
Tb4 0.500 0.238 0.750
Bi1 0.500 0.500 0.000
Pb1 0.000 0.500 0.500
Se1 0.000 0.000 0.000
Se2 0.500 0.000 0.500
# Calculated total energy ... -5.355 eV/atom
# Space-group type ... P2/m (10)
# Size of the total moment ... 0.000 μB/atom
# Crystal system ... monoclinic

=====

# PBE Tb6Bi2PbSe3, relaxed
data_Tb6Bi2PbSe3
_cell_length_a 4.304
_cell_length_b 8.588
_cell_length_c 9.600
_cell_angle_alpha 102.61
_cell_angle_beta 102.95
_cell_angle_gamma 90.00
_space_group_name_H-M_alt 'P 1'
_space_group_IT_number 1
_space_group_name_Hall 'P 1'
loop_
_atom_site_label
_atom_site_fract_x
_atom_site_fract_y
_atom_site_fract_z
Tb1 0.332 0.928 0.664
Tb2 0.662 0.595 0.325
Tb3 0.668 0.072 0.336
Tb4 0.996 0.254 0.992
Tb5 0.004 0.746 0.008
Tb6 0.338 0.405 0.675
Bi1 0.833 0.666 0.666
Bi2 0.167 0.334 0.334
Pb1 0.500 0.000 0.000
Se1 0.500 0.500 0.000
Se2 0.832 0.166 0.664
Se3 0.168 0.834 0.336
# Calculated total energy ... -5.388 eV/atom
# Space-group type ... C2/m (12)
# Size of the total moment ... 0.000 μB/atom
# Crystal system ... monoclinic

=====

# PBE Tb6BiPb2Se3, relaxed
data_Tb6BiPb2Se3
_cell_length_a 4.301
_cell_length_b 8.593
_cell_length_c 9.594
_cell_angle_alpha 102.48
_cell_angle_beta 102.95
_cell_angle_gamma 90.00
_space_group_name_H-M_alt 'P 1'
_space_group_IT_number 1
_space_group_name_Hall 'P 1'
loop_
_atom_site_label
_atom_site_fract_x
_atom_site_fract_y
_atom_site_fract_z
Tb1 0.329 0.920 0.659
Tb2 0.664 0.589 0.329
Tb3 0.671 0.080 0.341
Tb4 0.999 0.260 0.998
Tb5 0.001 0.740 0.002
Tb6 0.336 0.411 0.671
Bi1 0.500 0.000 0.000
Pb1 0.833 0.667 0.666
Pb2 0.167 0.333 0.334
Se1 0.500 0.500 0.000
Se2 0.835 0.167 0.669
Se3 0.165 0.833 0.331
# Calculated total energy ... -5.314 eV/atom
# Space-group type ... C2/m (12)
# Size of the total moment ... 0.000 μB/atom
# Crystal system ... monoclinic

=====

# PBE TcBiPbSe2, relaxed
data_TcBiPbSe2
_cell_length_a 5.597
_cell_length_b 5.280
_cell_length_c 5.597
_cell_angle_alpha 90.00
_cell_angle_beta 90.00
_cell_angle_gamma 90.00
_space_group_name_H-M_alt 'P 1'
_space_group_IT_number 1
_space_group_name_Hall 'P 1'
loop_
_atom_site_label
_atom_site_fract_x
_atom_site_fract_y
_atom_site_fract_z
Pb1 0.500 0.500 0.500
Bi1 0.000 0.000 0.000
Se1 0.000 0.000 0.500
Se2 0.500 0.000 0.000
Tc1 0.000 0.500 0.000
# Calculated total energy ... -4.055 eV/atom
# Space-group type ... P4/mmm (123)
# Size of the total moment ... 0.742 μB/atom
# Crystal system ... tetragonal

=====

# PBE ThBiPbSe, relaxed
data_ThBiPbSe
_cell_length_a 4.662
_cell_length_b 4.662
_cell_length_c 11.285
_cell_angle_alpha 90.00
_cell_angle_beta 90.00
_cell_angle_gamma 90.00
_space_group_name_H-M_alt 'P 1'
_space_group_IT_number 1
_space_group_name_Hall 'P 1'
loop_
_atom_site_label
_atom_site_fract_x
_atom_site_fract_y
_atom_site_fract_z
Th1 0.000 0.500 0.838
Th2 0.500 0.000 0.162
Bi1 0.500 0.000 0.733
Bi2 0.000 0.500 0.267
Pb1 0.000 0.000 0.500
Pb2 0.500 0.500 0.500
Se1 0.500 0.500 0.000
Se2 0.000 0.000 0.000
# Calculated total energy ... -5.309 eV/atom
# Space-group type ... P4/nmm (129)
# Size of the total moment ... 0.000 μB/atom
# Crystal system ... tetragonal

=====

# PBE Tl3BiPb2Se6, relaxed
data_Tl3BiPb2Se6
_cell_length_a 7.511
_cell_length_b 7.511
_cell_length_c 7.698
_cell_angle_alpha 99.45
_cell_angle_beta 99.45
_cell_angle_gamma 119.88
_space_group_name_H-M_alt 'P 1'
_space_group_IT_number 1
_space_group_name_Hall 'P 1'
loop_
_atom_site_label
_atom_site_fract_x
_atom_site_fract_y
_atom_site_fract_z
Tl1 0.168 0.832 0.500
Tl2 0.832 0.168 0.500
Tl3 0.500 0.500 0.500
Bi1 0.000 0.000 0.000
Pb1 0.334 0.666 0.000
Pb2 0.666 0.334 0.000
Se1 0.921 0.596 0.766
Se2 0.755 0.755 0.237
Se3 0.079 0.404 0.234
Se4 0.596 0.921 0.766
Se5 0.245 0.245 0.763
Se6 0.404 0.079 0.234
# Calculated total energy ... -3.679 eV/atom
# Space-group type ... C2/m (12)
# Size of the total moment ... 0.000 μB/atom
# Crystal system ... monoclinic

=====

# PBE Tm4BiPbSe2, relaxed
data_Tm4BiPbSe2
_cell_length_a 4.240
_cell_length_b 7.296
_cell_length_c 7.352
_cell_angle_alpha 70.45
_cell_angle_beta 90.00
_cell_angle_gamma 90.00
_space_group_name_H-M_alt 'P 1'
_space_group_IT_number 1
_space_group_name_Hall 'P 1'
loop_
_atom_site_label
_atom_site_fract_x
_atom_site_fract_y
_atom_site_fract_z
Tm1 0.000 0.763 0.740
Tm2 0.000 0.237 0.260
Tm3 0.500 0.761 0.251
Tm4 0.500 0.239 0.749
Bi1 0.500 0.500 0.000
Pb1 0.000 0.500 0.500
Se1 0.000 0.000 0.000
Se2 0.500 0.000 0.500
# Calculated total energy ... -5.174 eV/atom
# Space-group type ... P2/m (10)
# Size of the total moment ... 0.000 μB/atom
# Crystal system ... monoclinic

=====

# PBE Tm6BiPb2Se3, relaxed
data_Tm6BiPb2Se3
_cell_length_a 4.234
_cell_length_b 8.460
_cell_length_c 9.442
_cell_angle_alpha 102.34
_cell_angle_beta 102.95
_cell_angle_gamma 90.00
_space_group_name_H-M_alt 'P 1'
_space_group_IT_number 1
_space_group_name_Hall 'P 1'
loop_
_atom_site_label
_atom_site_fract_x
_atom_site_fract_y
_atom_site_fract_z
Tm1 0.329 0.919 0.659
Tm2 0.665 0.588 0.330
Tm3 0.671 0.081 0.341
Tm4 0.000 0.261 0.999
Tm5 0.000 0.739 0.001
Tm6 0.335 0.412 0.670
Bi1 0.500 0.000 0.000
Pb1 0.833 0.667 0.666
Pb2 0.167 0.333 0.334
Se1 0.500 0.500 0.000
Se2 0.835 0.167 0.670
Se3 0.165 0.833 0.330
# Calculated total energy ... -5.136 eV/atom
# Space-group type ... C2/m (12)
# Size of the total moment ... 0.000 μB/atom
# Crystal system ... monoclinic

=====

# PBE BiPb2WSe, relaxed
data_BiPb2WSe
_cell_length_a 5.441
_cell_length_b 5.290
_cell_length_c 5.441
_cell_angle_alpha 90.00
_cell_angle_beta 90.00
_cell_angle_gamma 90.00
_space_group_name_H-M_alt 'P 1'
_space_group_IT_number 1
_space_group_name_Hall 'P 1'
loop_
_atom_site_label
_atom_site_fract_x
_atom_site_fract_y
_atom_site_fract_z
Pb1 0.000 0.000 0.500
Pb2 0.500 0.000 0.000
Se1 0.500 0.500 0.500
Bi1 0.000 0.500 0.000
W1 0.000 0.000 0.000
# Calculated total energy ... -4.962 eV/atom
# Space-group type ... P4/mmm (123)
# Size of the total moment ... 0.199 μB/atom
# Crystal system ... tetragonal

=====

# PBE Y4BiPbSe2, relaxed
data_Y4BiPbSe2
_cell_length_a 4.295
_cell_length_b 7.413
_cell_length_c 7.438
_cell_angle_alpha 70.52
_cell_angle_beta 90.00
_cell_angle_gamma 90.00
_space_group_name_H-M_alt 'P 1'
_space_group_IT_number 1
_space_group_name_Hall 'P 1'
loop_
_atom_site_label
_atom_site_fract_x
_atom_site_fract_y
_atom_site_fract_z
Y1 0.000 0.763 0.741
Y2 0.000 0.237 0.259
Y3 0.500 0.761 0.250
Y4 0.500 0.239 0.750
Bi1 0.500 0.500 0.000
Pb1 0.000 0.500 0.500
Se1 0.000 0.000 0.000
Se2 0.500 0.000 0.500
# Calculated total energy ... -6.282 eV/atom
# Space-group type ... P2/m (10)
# Size of the total moment ... 0.000 μB/atom
# Crystal system ... monoclinic

=====

# PBE Y4Bi2PbSe, relaxed
data_Y4Bi2PbSe
_cell_length_a 4.375
_cell_length_b 7.616
_cell_length_c 7.603
_cell_angle_alpha 70.73
_cell_angle_beta 90.00
_cell_angle_gamma 90.00
_space_group_name_H-M_alt 'P 1'
_space_group_IT_number 1
_space_group_name_Hall 'P 1'
loop_
_atom_site_label
_atom_site_fract_x
_atom_site_fract_y
_atom_site_fract_z
Y1 0.000 0.741 0.748
Y2 0.000 0.259 0.252
Y3 0.500 0.740 0.255
Y4 0.500 0.260 0.745
Bi1 0.000 0.000 0.000
Bi2 0.500 0.000 0.500
Pb1 0.500 0.500 0.000
Se1 0.000 0.500 0.500
# Calculated total energy ... -6.108 eV/atom
# Space-group type ... P2/m (10)
# Size of the total moment ... 0.000 μB/atom
# Crystal system ... monoclinic